A geometry-optimized K2RbSiAg structure. Source: the Alexandria database, functional PBE-GGA.

Geometry as extended XYZ:
```
5
Lattice="6.607 0.000 0.000 0.000 6.607 0.000 0.000 0.000 4.898" Properties=species:S:1:pos:R:3 pbc="T T T"
K 0.000 3.304 0.000
K 3.304 0.000 0.000
Rb 0.000 0.000 2.449
Si 3.304 3.304 0.000
Ag 3.304 3.304 2.449
```

DFT total energy	-2.110	eV per atom
calculated density	2.33	g cm⁻³
V	213.8	Å³ per cell
SG	No. 123
energy relative to the elements, uncorrected	177	meV per atom

***

A geometry-optimized K2RbAgSn structure. Source: the Alexandria database, functional PBE-GGA.

Geometry as extended XYZ:
```
5
Lattice="6.533 0.000 0.000 0.000 6.533 0.000 0.000 0.000 5.319" Properties=species:S:1:pos:R:3 pbc="T T T"
K 0.000 3.267 0.000
K 3.267 0.000 0.000
Rb 0.000 0.000 2.660
Ag 3.267 3.267 0.000
Sn 3.267 3.267 2.660
```

DFT total energy	-2.020	eV per atom
formation energy	-0.016	eV per atom
calculated density	2.85	g cm⁻³
V	227.0	Å³ per cell
energy relative to the lowest polymorph listed for this composition	0.000	eV per atom
SG	No. 123

***

A geometry-optimized K2RbAgSn structure. Source: the Alexandria database, functional PBE-GGA.

Geometry as extended XYZ:
```
5
Lattice="6.835 0.000 0.000 0.000 6.835 0.000 0.000 0.000 5.360" Properties=species:S:1:pos:R:3 pbc="T T T"
K 0.000 3.417 0.000
K 3.417 0.000 0.000
Rb 0.000 0.000 2.680
Ag 3.417 3.417 2.680
Sn 3.417 3.417 0.000
```

DFT total energy	-1.965	eV per atom
formation energy	0.038	eV per atom
calculated density	2.59	g cm⁻³
V	250.4	Å³ per cell
energy relative to the lowest polymorph listed for this composition	0.055	eV per atom
SG	No. 123

***

Look up the calculated density of the first one. 2.33 g cm⁻³

***

Repeat the second record exactly.
A geometry-optimized K2RbAgSn structure. Source: the Alexandria database, functional PBE-GGA.

Geometry as extended XYZ:
```
5
Lattice="6.533 0.000 0.000 0.000 6.533 0.000 0.000 0.000 5.319" Properties=species:S:1:pos:R:3 pbc="T T T"
K 0.000 3.267 0.000
K 3.267 0.000 0.000
Rb 0.000 0.000 2.660
Ag 3.267 3.267 0.000
Sn 3.267 3.267 2.660
```

DFT total energy	-2.020	eV per atom
formation energy	-0.016	eV per atom
calculated density	2.85	g cm⁻³
V	227.0	Å³ per cell
energy relative to the lowest polymorph listed for this composition	0.000	eV per atom
SG	No. 123

***

Look up the calculated density of the first one. 2.33 g cm⁻³